(1)
# LiTm12Ni6

LiTm12Ni6 after structural relaxation (PBE, the Alexandria database).

Unit cell a=8.378 b=8.378 c=8.378 alpha=108.93 beta=108.93 gamma=108.93
Atoms (fractional coordinates):
Li: 0.000 0.000 0.000
Tm: 0.846 0.604 0.548
Tm: 0.548 0.846 0.604
Tm: 0.604 0.548 0.846
Tm: 0.154 0.396 0.452
Tm: 0.452 0.154 0.396
Tm: 0.396 0.452 0.154
Tm: 0.034 0.848 0.334
Tm: 0.152 0.666 0.966
Tm: 0.666 0.966 0.152
Tm: 0.966 0.152 0.666
Tm: 0.848 0.334 0.034
Tm: 0.334 0.034 0.848
Ni: 0.718 0.788 0.368
Ni: 0.632 0.282 0.212
Ni: 0.212 0.632 0.282
Ni: 0.282 0.212 0.632
Ni: 0.368 0.718 0.788
Ni: 0.788 0.368 0.718

Output
Space group: R-3
DOS(E_F) (states/eV per cell): 18.59
E (eV per atom): -4.936
Offset from the most stable computed form (meV/atom): 110

---

(2)
# Zr2TeBrCl

Zr2TeBrCl after structural relaxation (PBE, the Alexandria database).

Unit cell a=4.926 b=5.485 c=4.926 alpha=90.00 beta=90.00 gamma=90.00
Atoms (fractional coordinates):
Te: 0.000 0.500 0.000
Br: 0.500 0.500 0.500
Zr: 0.000 0.000 0.500
Zr: 0.500 0.000 0.000
Cl: 0.000 0.000 0.000

Output
Space group: P4/mmm
DOS(E_F) (states/eV per cell): 4.85
E (eV per atom): -4.382
Formation energy (no corrections) (eV per formula unit): 1.847

---

(3)
# Dy8Ru5Pt

Dy8Ru5Pt after structural relaxation (PBE, the Alexandria database).

Unit cell a=7.403 b=7.403 c=7.403 alpha=109.39 beta=109.64 gamma=109.39
Atoms (fractional coordinates):
Dy: 0.111 0.749 0.003
Dy: 0.997 0.108 0.746
Dy: 0.761 0.252 0.384
Dy: 0.616 0.377 0.868
Dy: 0.491 0.623 0.239
Dy: 0.638 0.892 0.889
Dy: 0.254 0.251 0.362
Dy: 0.132 0.748 0.509
Ru: 0.992 0.373 0.114
Ru: 0.886 0.878 0.259
Ru: 0.741 0.627 0.618
Ru: 0.500 0.000 0.500
Ru: 0.382 0.122 0.008
Pt: 0.250 0.500 0.750

Output
Space group: I-4
DOS(E_F) (states/eV per cell): 7.34
E (eV per atom): -6.727

---

(4)
# Sr2Nb2Re

Sr2Nb2Re after structural relaxation (PBE, the Alexandria database).

Unit cell a=9.018 b=9.018 c=2.855 alpha=90.00 beta=90.00 gamma=90.00
Atoms (fractional coordinates):
Re: 0.000 0.000 0.000
Re: 0.500 0.500 0.000
Nb: 0.192 0.692 0.500
Nb: 0.692 0.808 0.500
Nb: 0.808 0.308 0.500
Nb: 0.308 0.192 0.500
Sr: 0.384 0.884 0.000
Sr: 0.884 0.616 0.000
Sr: 0.616 0.116 0.000
Sr: 0.116 0.384 0.000

Output
Space group: P4/mbm
DOS(E_F) (states/eV per cell): 11.45
E (eV per atom): -5.285
Offset from the most stable computed form (meV/atom): 726